Here is an optimized crystal structure of Hf3MnPb from the Alexandria database. Energies are from PBEsol.

Lattice parameters (Å, degrees): 5.235 5.235 5.235 90.00 90.00 90.00
Positions (direct):
Hf (0.000, 0.000, 0.500)
Hf (0.000, 0.500, 0.000)
Hf (0.500, 0.000, 0.000)
Mn (0.500, 0.500, 0.500)
Pb (0.000, 0.000, 0.000)

Computed properties:
- calculated total energy (eV per cell) = -36.8
- formation energy from the elements (eV/atom) = 1.695
- N(E_F) (states/eV per atom) = 0.9018